(1)
# Ta2Tl2PbO7

An optimized crystal structure of Ta2Tl2PbO7 (GGA-PBE, Alexandria via LeMat-Bulk).

a = 4.014 Å, b = 4.014 Å, c = 12.067 Å
α = 97.53°, β = 97.53°, γ = 89.82°
Fractional positions:
Ta (0.076, 0.076, 0.181)
Ta (0.924, 0.924, 0.819)
Tl (0.311, 0.311, 0.611)
Tl (0.689, 0.689, 0.389)
Pb (0.500, 0.500, 0.000)
O (0.000, 0.000, 0.000)
O (0.063, 0.565, 0.167)
O (0.128, 0.128, 0.340)
O (0.435, 0.937, 0.833)
O (0.565, 0.063, 0.167)
O (0.872, 0.872, 0.660)
O (0.937, 0.435, 0.833)

Results
The calculation puts the volume at 191.0 Å³ per cell. As for the total energy: -7.64 eV/atom. As for the formation energy from raw total energies: -2.06 eV/atom. The density of states at the Fermi level is 0.00 states/eV/f.u.

***

(2)
# K2RbSrSb

An optimized crystal structure of K2RbSrSb (GGA-PBE, Alexandria via LeMat-Bulk).

a = 6.945 Å, b = 6.945 Å, c = 6.446 Å
α = 90.00°, β = 90.00°, γ = 90.00°
Fractional positions:
K (0.000, 0.500, 0.000)
K (0.500, 0.000, 0.000)
Rb (0.000, 0.000, 0.500)
Sr (0.500, 0.500, 0.500)
Sb (0.500, 0.500, 0.000)

Results
The calculation puts the volume at 310.9 Å³ per cell. As for the total energy: -2.07 eV/atom. As for the formation energy from raw total energies: -0.28 eV/atom. The density of states at the Fermi level is 2.29 states/eV/f.u.

***

(3)
# MnBiPd6

An optimized crystal structure of MnBiPd6 (GGA-PBE, Alexandria via LeMat-Bulk).

a = 4.039 Å, b = 4.039 Å, c = 8.045 Å
α = 90.00°, β = 90.00°, γ = 90.00°
Fractional positions:
Mn (0.000, 0.000, 0.000)
Bi (0.000, 0.000, 0.500)
Pd (0.000, 0.500, 0.237)
Pd (0.000, 0.500, 0.763)
Pd (0.500, 0.000, 0.237)
Pd (0.500, 0.000, 0.763)
Pd (0.500, 0.500, 0.000)
Pd (0.500, 0.500, 0.500)

Results
The distance to the lowest polymorph of the same formula comes out at 0 meV/atom. The calculation puts the volume at 131.2 Å³ per cell. As for the energy of formation from the pure elements: -245 meV per atom. As for the total energy: -5.77 eV/atom. The density of states at the Fermi level is 4.68 states/eV/f.u.